[1]
A relaxed structure of Zn2ReOsRh. Source: Alexandria, functional PBE.

Cell and atoms, written as POSCAR:
```
Zn2ReOsRh
1.0
4.7209 0.0000 0.0000
0.0000 4.7209 0.0000
0.0000 0.0000 4.6483
Zn Re Os Rh
2 1 1 1
Direct
0.0000 0.5000 0.0000
0.5000 0.0000 0.0000
0.0000 0.0000 0.0000
0.0000 0.0000 0.5000
0.5000 0.5000 0.5000
```

Summary:
* formation energy: 1.62 eV/atom
* calculated total energy: -25.5 eV for the cell shown
* D(E_F): 1.09 states/eV/atom

---

[2]
A relaxed structure of Re2OsRu4. Source: Alexandria, functional PBE.

Cell and atoms, written as POSCAR:
```
Re2OsRu4
1.0
1.3737 0.7931 15.2594
-1.3737 0.7931 15.2594
0.0000 -1.5862 15.2594
Re Os Ru
2 1 4
Direct
0.0000 0.0000 0.0000
0.0963 0.0963 0.0963
0.1916 0.1916 0.1916
0.2861 0.2861 0.2861
0.3808 0.3808 0.3808
0.8113 0.8113 0.8113
0.9050 0.9050 0.9050
```

Summary:
* formation energy: -0.02 eV/atom
* calculated total energy: -73.4 eV for the cell shown
* D(E_F): 0.84 states/eV/atom

---

[3]
A relaxed structure of Re2OsRu. Source: Alexandria, functional PBE.

Cell and atoms, written as POSCAR:
```
Re2OsRu
1.0
6.1958 0.0000 0.0000
0.0000 6.1958 0.0000
0.0000 0.0000 6.1958
Re Os Ru
8 4 4
Direct
0.0000 0.0000 0.0000
0.0000 0.5000 0.5000
0.2500 0.2500 0.2500
0.2500 0.7500 0.7500
0.5000 0.0000 0.5000
0.5000 0.5000 0.0000
0.7500 0.2500 0.7500
0.7500 0.7500 0.2500
0.0000 0.0000 0.5000
0.0000 0.5000 0.0000
0.5000 0.0000 0.0000
0.5000 0.5000 0.5000
0.2500 0.2500 0.7500
0.2500 0.7500 0.2500
0.7500 0.2500 0.2500
0.7500 0.7500 0.7500
```

Summary:
* formation energy: 0.50 eV/atom
* distance to the lowest polymorph of the same formula: 587 meV per atom
* calculated total energy: -173.7 eV for the cell shown
* D(E_F): 1.35 states/eV/atom